No. 1
Computed, not measured: an optimized crystal structure of Y8Ru3Au2 at the PBE-GGA level of DFT.

Unit cell a=8.5313 b=4.8866 c=8.5487 alpha=90.00 beta=110.12 gamma=90.00
Last column: nearest neighbours and their distance in Å.
Atoms (fractional coordinates):
Y1 0.1161 0.0000 0.3841  2 Ru 2.94, 2 Au 3.07, 1 Y 3.25
Y2 0.1350 0.5000 0.8682  3 Ru 2.92-2.94, 2 Au 3.07-3.08, 1 Y 3.27
Y3 0.3690 0.5000 0.6351  3 Ru 2.93-2.94, 2 Au 3.07-3.08, 1 Y 3.27
Y4 0.3808 0.0000 0.1184  4 Ru 2.95-2.96, 2 Au 3.07
Y5 0.6192 0.0000 0.8816  4 Ru 2.95-2.96, 2 Au 3.07
Y6 0.6310 0.5000 0.3649  3 Ru 2.93-2.94, 2 Au 3.07-3.08, 1 Y 3.27
Y7 0.8650 0.5000 0.1318  3 Ru 2.92-2.94, 2 Au 3.07-3.08, 1 Y 3.27
Y8 0.8839 0.0000 0.6159  2 Ru 2.94, 2 Au 3.07, 1 Y 3.25
Ru1 0.2506 0.0000 0.7502  8 Y 2.94-2.96
Ru2 0.5000 0.5000 0.0000  8 Y 2.92-2.96
Ru3 0.7494 0.0000 0.2498  8 Y 2.94-2.96
Au1 0.2481 0.5000 0.2514  8 Y 3.07-3.08
Au2 0.7519 0.5000 0.7486  8 Y 3.07-3.08

Results
- SG = P2/m, No. 10
- formation energy (eV per atom) = -0.4369

=====

No. 2
Computed, not measured: an optimized crystal structure of RbHg2Pd at the PBE-GGA level of DFT.

Unit cell a=5.0520 b=5.0516 c=10.2634 alpha=90.00 beta=90.07 gamma=90.00
Last column: nearest neighbours and their distance in Å.
Atoms (fractional coordinates):
Rb1 0.2496 0.2500 0.2422  9 Hg 3.66-3.80, 5 Pd 3.83-3.86
Rb2 0.7504 0.7500 0.7578  9 Hg 3.66-3.80, 5 Pd 3.83-3.86
Hg1 0.2500 0.7500 0.5000  4 Pd 2.79
Hg2 0.2507 0.2500 0.8838  1 Pd 2.76
Hg3 0.7493 0.7500 0.1162  1 Pd 2.76
Hg4 0.7500 0.2500 0.5000  4 Pd 2.79
Pd1 0.2503 0.2500 0.6151  5 Hg 2.76-2.79
Pd2 0.7497 0.7500 0.3849  5 Hg 2.76-2.79

Results
- SG = P2_1/m, No. 11
- formation energy (eV per atom) = -0.1672
- excess energy over the best structure of this formula in the dataset (eV/atom) = 0.035

=====

No. 3
Computed, not measured: an optimized crystal structure of BeNb2Hg at the PBE-GGA level of DFT.

Unit cell a=10.4991 b=10.4991 c=10.4991 alpha=159.19 beta=159.19 gamma=29.60
Last column: nearest neighbours and their distance in Å.
Atoms (fractional coordinates):
Be1 0.0000 0.0000 0.0000  4 Hg 2.68, 4 Nb 2.86
Be2 0.7500 0.2500 0.5000  4 Hg 2.68, 4 Nb 2.86
Nb1 0.1164 0.6250 0.9914  4 Nb 2.64-2.73, 2 Be 2.86, 2 Hg 2.88
Nb2 0.3750 0.3664 0.4914  4 Nb 2.64-2.73, 2 Be 2.86, 2 Hg 2.88
Nb3 0.6336 0.1250 0.0086  4 Nb 2.64-2.73, 2 Be 2.86, 2 Hg 2.88
Nb4 0.8750 0.8836 0.5086  4 Nb 2.64-2.73, 2 Be 2.86, 2 Hg 2.88
Hg1 0.2500 0.7500 0.5000  4 Be 2.68, 4 Nb 2.88
Hg2 0.5000 0.5000 0.0000  4 Be 2.68, 4 Nb 2.88

Results
- SG = I-42d, No. 122
- formation energy (eV per atom) = 0.6766
- excess energy over the best structure of this formula in the dataset (eV/atom) = 0.382

=====

No. 4
Computed, not measured: an optimized crystal structure of Rb2MnPbS4 at the PBE-GGA level of DFT.

Unit cell a=13.5623 b=12.4316 c=7.2750 alpha=82.52 beta=65.35 gamma=32.13
Last column: nearest neighbours and their distance in Å.
Atoms (fractional coordinates):
Rb1 0.0563 0.0563 0.6937  6 S 3.71-3.79, 2 Mn 3.99, 2 Pb 3.99
Rb2 0.3063 0.3063 0.9437  6 S 3.71-3.79, 2 Mn 3.99, 2 Pb 3.99
Rb3 0.6937 0.6937 0.0563  6 S 3.71-3.79, 2 Pb 3.99, 2 Mn 3.99
Rb4 0.9437 0.9437 0.3063  6 S 3.71-3.79, 2 Mn 3.99, 2 Pb 3.99
Mn1 0.3750 0.3750 0.3750  4 S 2.24
Mn2 0.6250 0.6250 0.6250  4 S 2.24
Pb1 0.1250 0.1250 0.1250  4 S 2.67
Pb2 0.8750 0.8750 0.8750  4 S 2.67
S1 0.0289 0.6058 0.5543  1 Mn 2.24
S2 0.3110 0.5543 0.6058  1 Mn 2.24
S3 0.3942 0.9711 0.6890  1 Mn 2.24
S4 0.4457 0.6890 0.9711  1 Mn 2.24
S5 0.5543 0.3110 0.0289  1 Mn 2.24
S6 0.6058 0.0289 0.3110  1 Mn 2.24
S7 0.6890 0.4457 0.3942  1 Mn 2.24
S8 0.9711 0.3942 0.4457  1 Mn 2.24

Results
- SG = Fddd, No. 70
- E_form (uncorrected) (eV/atom) = -0.66

=====

No. 5
Computed, not measured: an optimized crystal structure of SiPb2S4 at the PBE-GGA level of DFT.

Unit cell a=6.1540 b=6.1540 c=6.2679 alpha=111.28 beta=111.28 gamma=81.45
Last column: nearest neighbours and their distance in Å.
Atoms (fractional coordinates):
Si1 0.0000 0.0000 0.0000  4 S 2.11-2.20
Pb1 0.1400 0.6143 0.4880  4 S 2.81-2.92
Pb2 0.6143 0.1400 0.4880  4 S 2.81-2.92
S1 0.0200 0.0200 0.3608  1 Si 2.18
S2 0.3370 0.8825 0.9888  1 Si 2.11
S3 0.7628 0.7628 0.6659  1 Si 2.20
S4 0.8825 0.3370 0.9888  1 Si 2.11

Results
- SG = Cm, No. 8
- excess energy over the best structure of this formula in the dataset (eV/atom) = 0.072
- E_form (uncorrected) (eV/atom) = -0.55

=====

No. 6
Computed, not measured: an optimized crystal structure of LaGe3Rh at the PBE-GGA level of DFT.

Unit cell a=5.4721 b=5.4721 c=5.4721 alpha=90.00 beta=90.00 gamma=90.00
Last column: nearest neighbours and their distance in Å.
Atoms (fractional coordinates):
La1 0.0000 0.0000 0.0000  6 Ge 2.74
Ge1 0.0000 0.0000 0.5000  2 La 2.74
Ge2 0.0000 0.5000 0.0000  2 La 2.74
Ge3 0.5000 0.0000 0.0000  2 La 2.74
Rh1 0.5000 0.5000 0.5000  12 Ge 3.87

Results
- SG = Pm-3m, No. 221
- formation energy (eV per atom) = 1.5331

=====

No. 7
Computed, not measured: an optimized crystal structure of Pr4GaS2 at the PBE-GGA level of DFT.

Unit cell a=7.1022 b=7.1022 c=14.0783 alpha=90.00 beta=90.00 gamma=146.56
Last column: nearest neighbours and their distance in Å.
Atoms (fractional coordinates):
Pr1 0.0000 0.0000 0.0000  4 S 2.89
Pr2 0.0000 0.0000 0.5000  4 S 2.89
Pr3 0.2723 0.7277 0.6195  3 S 2.83-2.88
Pr4 0.2723 0.7277 0.8805  3 S 2.83-2.88
Pr5 0.4392 0.5608 0.2500  2 S 2.85, 2 Ga 3.06
Pr6 0.5608 0.4392 0.7500  2 S 2.85, 2 Ga 3.06
Pr7 0.7277 0.2723 0.1195  3 S 2.83-2.88
Pr8 0.7277 0.2723 0.3805  3 S 2.83-2.88
Ga1 0.1063 0.8937 0.2500  6 Pr 3.06-3.21
Ga2 0.8937 0.1063 0.7500  6 Pr 3.06-3.21
S1 0.3637 0.6363 0.0614  6 Pr 2.83-2.89
S2 0.3637 0.6363 0.4386  6 Pr 2.83-2.89
S3 0.6363 0.3637 0.5614  6 Pr 2.83-2.89
S4 0.6363 0.3637 0.9386  6 Pr 2.83-2.89

Results
- SG = Cmcm, No. 63
- E_form (uncorrected) (eV/atom) = -1.32

=====

No. 8
Computed, not measured: an optimized crystal structure of Ba2Na2Y at the PBE-GGA level of DFT.

Unit cell a=9.6562 b=9.6562 c=4.8539 alpha=90.00 beta=90.00 gamma=90.00
Last column: nearest neighbours and their distance in Å.
Atoms (fractional coordinates):
Ba1 0.1869 0.3131 0.0000  6 Na 3.60-3.88
Ba2 0.3131 0.8131 0.0000  6 Na 3.60-3.88
Ba3 0.6869 0.1869 0.0000  6 Na 3.60-3.88
Ba4 0.8131 0.6869 0.0000  6 Na 3.60-3.88
Na1 0.1187 0.6187 0.5000  1 Na 3.24, 2 Ba 3.60
Na2 0.3813 0.1187 0.5000  1 Na 3.24, 2 Ba 3.60
Na3 0.6187 0.8813 0.5000  1 Na 3.24, 2 Ba 3.60
Na4 0.8813 0.3813 0.5000  1 Na 3.24, 2 Ba 3.60
Y1 0.0000 0.0000 0.5000  4 Na 3.86, 8 Ba 4.28
Y2 0.5000 0.5000 0.5000  4 Na 3.86, 8 Ba 4.28

Results
- SG = P4/mbm, No. 127
- formation energy (eV per atom) = 0.2414